Below is a relaxed PmHg2Rh crystal, with properties calculated at the PBE-GGA level.

```
PmHg2Rh
1.0
-3.783 -3.310 -0.874
0.347 -1.429 3.910
-2.781 2.840 1.285
Rh Pm Hg
1 1 2
Cartesian
-3.109 -0.950 2.160
-1.892 -1.655 -0.437
0.174 -0.714 1.955
-1.391 1.420 0.642
```

- offset from the most stable computed form (kcal/mol of atoms) = 3.98
- N(E_F) (states/eV per cell) = 2.5
- energy of formation (eV per formula unit) = -1.1
- space group = P4/mmm (123)



Below is a relaxed CdCo2Mo2 crystal, with properties calculated at the PBE-GGA level.

```
CdCo2Mo2
1.0
-3.057 2.626 -6.074
-6.101 -3.709 1.467
-0.957 2.129 1.402
Co Mo Cd
4 4 2
Cartesian
-6.482 -0.007 -4.413
-2.676 -1.076 -0.194
-2.654 1.180 -3.603
-6.504 -2.263 -1.004
-5.054 2.017 -3.869
-5.061 -0.971 0.664
-2.516 1.318 -1.074
-7.599 -0.272 -2.130
-4.579 -0.542 -2.304
0.000 0.000 0.000
```

- offset from the most stable computed form (kcal/mol of atoms) = 0.00
- N(E_F) (states/eV per cell) = 7.0
- energy of formation (eV per formula unit) = 0.9
- space group = P4/mbm (127)



Below is a relaxed Nd3CoTeBr crystal, with properties calculated at the PBE-GGA level.

```
Nd3CoTeBr
1.0
4.216 0.000 0.000
0.000 8.105 -0.221
0.000 -3.492 9.734
Co Te Nd Br
2 2 6 2
Cartesian
3.162 -0.705 8.309
1.054 5.319 1.204
3.162 3.466 6.908
1.054 1.148 2.605
3.162 7.029 0.764
1.054 1.252 8.242
3.162 3.362 1.271
1.054 3.871 4.523
1.054 -2.415 8.749
3.162 0.743 4.990
3.162 5.735 3.466
1.054 -1.122 6.047
```

- N(E_F) (states/eV per cell) = 7.7
- space group = P2_1/m (11)
- energy relative to the elements, uncorrected (eV/atom) = -0.760



Below is a relaxed Ac2PrS4 crystal, with properties calculated at the PBE-GGA level.

```
Ac2PrS4
1.0
4.076 0.000 0.000
-2.038 7.147 0.000
0.000 0.000 13.909
S Ac Pr
8 4 2
Cartesian
2.038 4.000 1.740
2.038 0.000 6.954
2.038 6.914 10.431
0.000 3.147 12.169
0.000 3.147 8.694
2.038 0.000 0.000
0.000 0.234 3.477
2.038 4.000 5.215
2.038 5.285 7.990
0.000 1.862 5.918
2.038 5.285 12.873
0.000 1.862 1.036
0.000 5.329 3.477
2.038 1.819 10.431
```

- N(E_F) (states/eV per cell) = 3.8
- space group = Cmcm (63)
- energy relative to the elements, uncorrected (eV/atom) = -2.031



Below is a relaxed LaAsSe2Br crystal, with properties calculated at the PBE-GGA level.

```
LaAsSe2Br
1.0
-0.672 -3.090 -4.940
-4.287 -3.106 2.526
-3.852 3.805 -1.856
Se As La Br
2 1 1 1
Cartesian
-2.143 -1.553 1.263
-0.336 -1.545 -2.470
-4.405 -1.196 -2.135
0.000 0.000 0.000
-1.926 1.903 -0.928
```

- offset from the most stable computed form (kcal/mol of atoms) = 9.09
- N(E_F) (states/eV per cell) = 3.9
- space group = P4/mmm (123)
- energy relative to the elements, uncorrected (eV/atom) = -0.246



Below is a relaxed Ca2BTeIr crystal, with properties calculated at the PBE-GGA level.

```
Ca2BTeIr
1.0
5.338 0.000 0.000
0.000 5.338 0.000
0.000 0.000 3.996
Te B Ir Ca
1 1 1 2
Cartesian
2.669 2.669 1.998
0.000 0.000 0.000
0.000 0.000 1.998
0.000 2.669 0.000
2.669 0.000 0.000
```

- N(E_F) (states/eV per cell) = 3.2
- space group = P4/mmm (123)
- energy relative to the elements, uncorrected (eV/atom) = -0.545



Below is a relaxed SbIrF3 crystal, with properties calculated at the PBE-GGA level.

```
SbIrF3
1.0
-1.072 3.367 2.453
-4.070 -0.306 -1.358
-0.888 -2.659 3.262
F Ir Sb
3 1 1
Cartesian
-0.536 1.684 1.226
-0.444 -1.330 1.631
-2.035 -0.153 -0.679
0.000 0.000 0.000
-3.015 0.201 2.179
```

- offset from the most stable computed form (kcal/mol of atoms) = 0.00
- N(E_F) (states/eV per cell) = 5.0
- space group = Pm-3m (221)
- energy relative to the elements, uncorrected (eV/atom) = -0.362



Below is a relaxed Al2CrReTe crystal, with properties calculated at the PBE-GGA level.

```
Al2CrReTe
1.0
-3.710 -0.774 3.015
-0.877 -4.594 -2.259
3.003 -2.123 3.151
Cr Al Te Re
1 2 1 1
Cartesian
-0.792 -3.745 1.953
-1.855 -0.387 1.507
1.501 -1.061 1.575
-0.439 -2.297 -1.129
0.000 0.000 0.000
```

- N(E_F) (states/eV per cell) = 4.4
- space group = P4/mmm (123)
- energy relative to the elements, uncorrected (eV/atom) = 1.278



Below is a relaxed YTh4S5 crystal, with properties calculated at the PBE-GGA level.

```
YTh4S5
1.0
5.124 0.000 2.471
2.562 6.357 1.236
-0.200 0.000 6.961
S Th Y
5 4 1
Cartesian
4.046 1.220 4.718
2.037 3.865 2.337
2.568 0.000 1.239
5.459 2.492 8.336
3.450 5.137 5.955
1.460 1.302 3.533
2.933 2.548 7.027
4.563 3.809 3.646
6.036 5.055 7.140
0.006 0.000 0.003
```

- N(E_F) (states/eV per cell) = 7.1
- space group = I4/m (87)
- energy relative to the elements, uncorrected (eV/atom) = -1.861



Below is a relaxed CdTeSe crystal, with properties calculated at the PBE-GGA level.

```
CdTeSe
1.0
4.248 0.000 0.000
0.000 10.616 2.122
0.000 2.681 8.599
Cd Se Te
4 4 4
Cartesian
1.065 1.838 5.821
1.058 7.146 6.882
3.189 6.151 3.839
3.182 11.459 4.900
3.179 4.688 1.584
3.193 9.996 2.645
1.069 8.609 9.137
1.055 3.300 8.076
3.188 10.516 7.632
3.184 5.208 6.571
1.060 2.781 3.089
1.064 8.089 4.150
```

- offset from the most stable computed form (kcal/mol of atoms) = 2.86
- N(E_F) (states/eV per cell) = 2.8
- space group = P2_1/c (14)
- energy relative to the elements, uncorrected (eV/atom) = -0.185



Below is a relaxed Y7Ho2Th crystal, with properties calculated at the PBE-GGA level.

```
Y7Ho2Th
1.0
5.468 0.000 0.000
0.000 9.309 -0.556
0.000 -4.696 8.057
Y Th Ho
7 1 2
Cartesian
2.734 -0.758 2.293
0.000 6.403 1.231
2.734 2.307 3.751
0.000 -1.790 6.270
2.734 5.371 5.208
2.734 2.225 7.143
2.734 2.388 0.358
0.000 0.000 0.000
2.734 -0.522 5.490
2.734 5.135 2.011
```

- offset from the most stable computed form (kcal/mol of atoms) = 16.24
- N(E_F) (states/eV per cell) = 17.1
- energy of formation (eV per formula unit) = 7.3
- space group = Cmmm (65)



Below is a relaxed SnBi3Pd12 crystal, with properties calculated at the PBE-GGA level.

```
SnBi3Pd12
1.0
4.125 0.000 0.000
0.000 4.125 0.000
0.000 0.000 16.382
Pd Bi Sn
12 3 1
Cartesian
2.062 0.000 14.435
0.000 2.062 1.946
2.062 0.000 6.120
0.000 2.062 14.435
0.000 2.062 6.120
2.062 0.000 1.946
2.062 2.062 4.047
0.000 2.062 10.261
2.062 2.062 0.000
2.062 2.062 12.334
2.062 2.062 8.191
2.062 0.000 10.261
0.000 0.000 12.348
0.000 0.000 4.034
0.000 0.000 8.191
0.000 0.000 0.000
```

- N(E_F) (states/eV per cell) = 8.6
- energy of formation (eV per formula unit) = -4.8
- space group = P4/mmm (123)



Below is a relaxed Nb3Pt2Rh2 crystal, with properties calculated at the PBE-GGA level.

```
Nb3Pt2Rh2
1.0
4.060 0.000 0.539
0.000 2.833 0.000
0.741 0.000 9.984
Pt Rh Nb
2 2 3
Cartesian
2.954 1.416 8.870
1.847 1.416 1.652
1.491 1.416 4.333
3.310 1.416 6.189
1.135 0.000 7.010
3.665 0.000 3.512
0.000 0.000 0.000
```

- N(E_F) (states/eV per cell) = 6.7
- energy of formation (eV per formula unit) = -3.3
- space group = Cmmm (65)



Below is a relaxed ScAl2Si crystal, with properties calculated at the PBE-GGA level.

```
ScAl2Si
1.0
5.153 0.000 -0.002
2.196 4.662 0.002
-3.673 -2.334 2.765
Sc Al Si
1 2 1
Cartesian
0.001 -0.004 2.765
-3.670 -2.332 2.765
2.577 -0.001 1.381
1.098 2.328 1.384
```

- N(E_F) (states/eV per cell) = 1.6
- space group = F222 (22)
- energy relative to the elements, uncorrected (eV/atom) = -0.391



Below is a relaxed VNiOsRu crystal, with properties calculated at the PBE-GGA level.

```
VNiOsRu
1.0
3.617 0.000 0.000
0.000 3.796 0.000
0.000 0.000 3.807
Ru Os Ni V
1 1 1 1
Cartesian
0.000 0.000 0.000
0.000 1.898 1.903
1.808 1.898 0.000
1.808 0.000 1.903
```

- offset from the most stable computed form (kcal/mol of atoms) = 0.00
- N(E_F) (states/eV per cell) = 3.7
- energy of formation (eV per formula unit) = -0.6
- space group = Pmmm (47)



Below is a relaxed ZrTaCu2P crystal, with properties calculated at the PBE-GGA level.

```
ZrTaCu2P
1.0
-2.157 2.736 -2.474
-4.099 -2.564 0.739
-0.884 2.399 3.424
Zr Ta Cu P
1 1 2 1
Cartesian
-2.050 -1.282 0.369
-3.570 1.286 0.844
-0.442 1.200 1.712
-1.079 1.368 -1.237
0.000 0.000 0.000
```

- offset from the most stable computed form (kcal/mol of atoms) = 0.00
- N(E_F) (states/eV per cell) = 4.4
- energy of formation (eV per formula unit) = 2.1
- space group = P4/mmm (123)



Below is a relaxed CeErZnIn crystal, with properties calculated at the PBE-GGA level.

```
CeErZnIn
1.0
5.240 0.000 0.000
2.620 4.538 0.000
2.620 1.513 4.278
Zn Er Ce In
1 1 1 1
Cartesian
0.000 0.000 0.000
7.860 4.538 3.209
2.620 1.513 1.070
5.240 3.025 2.139
```

- N(E_F) (states/eV per cell) = 8.8
- energy of formation (eV per formula unit) = -1.2
- space group = F-43m (216)



Below is a relaxed FeSi2P4 crystal, with properties calculated at the PBE-GGA level.

```
FeSi2P4
1.0
8.601 0.000 0.000
0.000 8.601 0.000
0.000 0.000 3.036
P Si Fe
8 4 2
Cartesian
0.063 6.671 1.518
6.671 0.063 1.518
6.231 4.364 0.000
4.364 6.231 0.000
8.538 1.930 1.518
1.930 8.538 1.518
2.370 4.237 0.000
4.237 2.370 0.000
6.138 2.463 1.518
1.838 1.838 0.000
6.763 6.763 0.000
2.463 6.138 1.518
0.000 0.000 0.000
4.300 4.300 1.518
```

- N(E_F) (states/eV per cell) = 5.1
- space group = P4_2/mnm (136)
- energy relative to the elements, uncorrected (eV/atom) = 0.262



Below is a relaxed K4BeAs2 crystal, with properties calculated at the PBE-GGA level.

```
K4BeAs2
1.0
-4.822 -5.565 -5.680
0.569 -7.457 -5.527
-3.019 -8.705 -1.257
Be As K
1 2 4
Cartesian
0.000 0.000 0.000
-0.583 -1.741 -0.999
-6.689 -19.987 -11.466
-5.754 -17.192 -9.862
-2.736 -8.173 -4.689
-4.536 -13.554 -7.776
-1.518 -4.536 -2.602
```

- energy of formation (eV per formula unit) = -2.9
- space group = R-3m (166)



Below is a relaxed CeIn2Au crystal, with properties calculated at the PBE-GGA level.

```
CeIn2Au
1.0
4.695 0.000 0.000
2.348 4.066 0.000
2.348 1.355 5.318
In Ce Au
2 1 1
Cartesian
2.348 1.355 1.737
7.043 4.066 3.581
0.000 0.000 0.000
4.695 2.711 2.659
```

- offset from the most stable computed form (kcal/mol of atoms) = 3.27
- N(E_F) (states/eV per cell) = 6.9
- energy of formation (eV per formula unit) = -1.4
- space group = R-3m (166)



Below is a relaxed Mn2Co2Au crystal, with properties calculated at the PBE-GGA level.

```
Mn2Co2Au
1.0
6.896 0.000 0.000
0.000 6.896 0.000
0.000 0.000 2.556
Mn Co Au
4 4 2
Cartesian
5.729 2.281 1.278
4.615 5.729 1.278
2.281 1.167 1.278
1.167 4.615 1.278
6.056 4.287 0.000
0.839 2.609 0.000
2.609 6.056 0.000
4.287 0.839 0.000
3.448 3.448 0.000
0.000 0.000 0.000
```

- offset from the most stable computed form (kcal/mol of atoms) = 0.00
- N(E_F) (states/eV per cell) = 17.8
- energy of formation (eV per formula unit) = 1.5
- space group = P4/mbm (127)



Below is a relaxed Zr7In3 crystal, with properties calculated at the PBE-GGA level.

```
Zr7In3
1.0
-1.239 0.315 4.283
-0.816 -6.291 0.226
8.388 0.706 0.043
Zr In
7 3
Cartesian
5.577 -3.720 1.887
0.172 -4.726 2.729
6.160 -0.545 1.823
3.057 -0.288 0.906
0.755 -1.551 2.665
3.275 -4.983 3.646
-0.408 -3.146 0.113
3.778 -1.786 3.557
2.554 -3.485 0.995
0.000 0.000 0.000
```

- N(E_F) (states/eV per cell) = 10.0
- energy of formation (eV per formula unit) = -2.3
- space group = C2/m (12)



Below is a relaxed Ti3CoNi crystal, with properties calculated at the PBE-GGA level.

```
Ti3CoNi
1.0
-1.138 -2.935 3.114
3.150 1.607 2.665
-2.897 2.900 1.675
Ti Ni Co
3 1 1
Cartesian
-0.569 -1.467 1.557
1.575 0.804 1.333
-1.448 1.450 0.837
-0.443 0.786 3.727
0.000 0.000 0.000
```

- offset from the most stable computed form (kcal/mol of atoms) = 11.55
- N(E_F) (states/eV per cell) = 9.8
- energy of formation (eV per formula unit) = 2.1
- space group = Pm-3m (221)



Below is a relaxed ZrIrW crystal, with properties calculated at the PBE-GGA level.

```
ZrIrW
1.0
5.340 0.009 -0.009
3.235 4.248 0.009
-4.069 -2.570 2.315
Ir Zr W
1 1 1
Cartesian
8.499 4.219 0.000
5.698 2.829 0.000
2.955 1.467 0.000
```

- offset from the most stable computed form (kcal/mol of atoms) = 3.47
- N(E_F) (states/eV per cell) = 2.7
- energy of formation (eV per formula unit) = -0.4
- space group = Imm2 (44)



Below is a relaxed CuAsRh2 crystal, with properties calculated at the PBE-GGA level.

```
CuAsRh2
1.0
8.087 0.007 0.004
7.560 2.871 0.004
7.560 1.390 2.512
As Cu Rh
1 1 2
Cartesian
5.802 1.067 0.630
17.405 3.201 1.890
11.693 2.150 1.270
23.116 4.251 2.510
```

- N(E_F) (states/eV per cell) = 2.7
- energy of formation (eV per formula unit) = -0.2
- space group = R-3m (166)



no.,energy (eV/atom)
1,-3.440
2,-7.176
3,-5.131
4,-6.247
5,-3.890
6,-5.082
7,-4.081
8,-5.261
9,-7.539
10,-2.698
11,-5.448
12,-5.171
13,-8.616
14,-5.201
15,-8.998
16,-6.385
17,-3.938
18,-5.588
19,-2.908
20,-4.034
21,-6.868
22,-7.036
23,-6.903
24,-10.241
25,-5.913